1.
VASP calculation (PBE) on a relaxed CuTc2W crystal.

Unit cell a=4.7528 b=4.7528 c=4.7528 alpha=132.37 beta=132.37 gamma=69.65
Element x y z (fractional)
1 Cu 0.0000 0.0000 0.0000
2 Tc 0.5000 0.5000 0.0000
3 Tc 0.7500 0.2500 0.5000
4 W 0.2500 0.7500 0.5000

Values from the calculation:
Energy relative to the elements: 0.196 eV per atom
Final energy: -9.2492 eV per atom
Space-group type: I-4m2
Offset from the most stable computed form: 0.039 eV/atom

2.
VASP calculation (PBE) on a relaxed KLaRu2 crystal.

Unit cell a=3.1121 b=4.5656 c=7.3859 alpha=90.00 beta=99.89 gamma=90.00
Element x y z (fractional)
1 K 0.0000 0.0000 0.0000
2 La 0.5000 0.0000 0.5000
3 Ru 0.2973 0.5000 0.6501
4 Ru 0.7027 0.5000 0.3499

Values from the calculation:
Energy relative to the elements: 0.565 eV per atom
Final energy: -5.5790 eV per atom
Space-group type: P2/m
Offset from the most stable computed form: 0.279 eV/atom

3.
VASP calculation (PBE) on a relaxed LiPuGaFe crystal.

Unit cell a=4.5222 b=4.5222 c=4.5222 alpha=60.00 beta=60.00 gamma=60.00
Element x y z (fractional)
1 Li 0.0000 0.0000 0.0000
2 Pu 0.2500 0.2500 0.2500
3 Ga 0.7500 0.7500 0.7500
4 Fe 0.5000 0.5000 0.5000

Values from the calculation:
Energy relative to the elements: 0.003 eV per atom
Final energy: -6.9310 eV per atom
Space-group type: F-43m

4.
VASP calculation (PBE) on a relaxed Pd2RuN crystal.

Unit cell a=6.6886 b=6.6886 c=6.6886 alpha=137.00 beta=137.00 gamma=62.43
Element x y z (fractional)
1 Pd 0.0062 0.6250 0.8812
2 Pd 0.3750 0.2562 0.3812
3 Pd 0.7438 0.1250 0.1188
4 Pd 0.8750 0.9938 0.6188
5 Ru 0.2500 0.7500 0.5000
6 Ru 0.5000 0.5000 0.0000
7 N 0.0000 0.0000 0.0000
8 N 0.7500 0.2500 0.5000

Values from the calculation:
Final energy: -5.8185 eV per atom
Space-group type: I-42d

5.
VASP calculation (PBE) on a relaxed Ba2Hg7Bi crystal.

Unit cell a=4.9201 b=4.9201 c=12.8754 alpha=90.00 beta=90.00 gamma=90.00
Element x y z (fractional)
1 Ba 0.0000 0.5000 0.2490
2 Ba 0.5000 0.0000 0.7510
3 Hg 0.0000 0.0000 0.0000
4 Hg 0.0000 0.5000 0.6431
5 Hg 0.0000 0.5000 0.8661
6 Hg 0.5000 0.0000 0.1339
7 Hg 0.5000 0.0000 0.3569
8 Hg 0.5000 0.5000 0.0000
9 Hg 0.5000 0.5000 0.5000
10 Bi 0.0000 0.0000 0.5000

Values from the calculation:
Energy relative to the elements: -0.347 eV per atom
Final energy: -1.3314 eV per atom
Space-group type: P-4m2

6.
VASP calculation (PBE) on a relaxed P2RhCl crystal.

Unit cell a=7.0528 b=7.0528 c=7.0528 alpha=28.36 beta=28.36 gamma=28.36
Element x y z (fractional)
1 P 0.2319 0.2319 0.2319
2 P 0.7681 0.7681 0.7681
3 Rh 0.5000 0.5000 0.5000
4 Cl 0.0000 0.0000 0.0000

Values from the calculation:
Final energy: -5.0175 eV per atom
Space-group type: R-3m
Offset from the most stable computed form: 0.156 eV/atom

7.
VASP calculation (PBE) on a relaxed B2HPbF crystal.

Unit cell a=3.8317 b=3.8317 c=4.5736 alpha=90.00 beta=90.00 gamma=90.00
Element x y z (fractional)
1 B 0.0000 0.5000 0.0000
2 B 0.5000 0.0000 0.0000
3 H 0.0000 0.0000 0.5000
4 Pb 0.5000 0.5000 0.5000
5 F 0.0000 0.0000 0.0000

Values from the calculation:
Final energy: -3.1299 eV per atom
Space-group type: P4/mmm

8.
VASP calculation (PBE) on a relaxed KMg2Be crystal.

Unit cell a=3.5704 b=3.5704 c=8.3832 alpha=90.00 beta=90.00 gamma=90.00
Element x y z (fractional)
1 K 0.0000 0.0000 0.0000
2 Mg 0.0000 0.0000 0.5926
3 Mg 0.5000 0.5000 0.3644
4 Be 0.5000 0.5000 0.6820

Values from the calculation:
Energy relative to the elements: 0.435 eV per atom
Final energy: -1.5684 eV per atom
Space-group type: P4mm

9.
VASP calculation (PBE) on a relaxed KW crystal.

Unit cell a=7.2038 b=7.2038 c=7.2038 alpha=154.67 beta=126.21 gamma=60.35
Element x y z (fractional)
1 K 0.3546 0.1046 0.2500
2 K 0.6454 0.8954 0.7500
3 W 0.0710 0.3210 0.7500
4 W 0.9290 0.6790 0.2500

Values from the calculation:
Energy relative to the elements: 1.416 eV per atom
Final energy: -5.6089 eV per atom
Space-group type: Imma
Offset from the most stable computed form: 0.494 eV/atom

10.
VASP calculation (PBE) on a relaxed LiCeH2 crystal.

Unit cell a=4.2511 b=4.2511 c=2.8144 alpha=90.00 beta=90.00 gamma=90.00
Element x y z (fractional)
1 Li 0.0000 0.0000 0.0000
2 Ce 0.5000 0.5000 0.0000
3 H 0.0000 0.5000 0.5000
4 H 0.5000 0.0000 0.5000

Values from the calculation:
Final energy: -3.6743 eV per atom
Space-group type: P4/mmm
Offset from the most stable computed form: 0.260 eV/atom